Record 1
Hf2NpP (PBE, relaxed); VASP energy = -9.57 eV per atom; DFT formation energy = -9 meV/atom; space-group type = R-3m, No. 166
1.0
1.690 0.976 9.284
-1.690 0.976 9.284
0.000 -1.952 9.284
Hf Np P
2 1 1
Direct
0.110 0.110 0.110 Hf
0.890 0.890 0.890 Hf
0.000 0.000 0.000 Np
0.500 0.500 0.500 P

Record 2
HfNp5P6 (PBE, relaxed); VASP energy = -9.86 eV per atom; DFT formation energy = -936 meV/atom; space-group type = C2/m, No. 12
1.0
3.379 -5.878 0.000
3.379 5.878 0.000
-2.273 0.000 6.360
Hf Np P
1 5 6
Direct
0.000 0.000 0.000 Hf
0.169 0.831 0.500 Np
0.335 0.665 0.000 Np
0.500 0.500 0.500 Np
0.665 0.335 0.000 Np
0.831 0.169 0.500 Np
0.079 0.405 0.242 P
0.241 0.241 0.754 P
0.405 0.079 0.242 P
0.595 0.921 0.758 P
0.759 0.759 0.246 P
0.921 0.595 0.758 P

Record 3
Hf4NpP5 (PBE, relaxed); VASP energy = -9.18 eV per atom; DFT formation energy = -1202 meV/atom; space-group type = Immm, No. 71
1.0
-1.865 2.642 9.407
1.865 -2.642 9.407
1.865 2.642 -9.407
Hf Np P
4 1 5
Direct
0.102 0.102 0.000 Hf
0.299 0.299 0.000 Hf
0.701 0.701 0.000 Hf
0.898 0.898 0.000 Hf
0.500 0.500 0.000 Np
0.000 0.500 0.500 P
0.200 0.700 0.500 P
0.395 0.895 0.500 P
0.605 0.105 0.500 P
0.800 0.300 0.500 P

Record 4
HfNp2P3 (PBE, relaxed); VASP energy = -9.70 eV per atom; DFT formation energy = -1027 meV/atom; space-group type = Fddd, No. 70
1.0
0.000 5.453 11.594
3.850 0.000 11.594
3.850 5.453 0.000
Hf Np P
4 8 12
Direct
0.041 0.041 0.209 Hf
0.209 0.209 0.041 Hf
0.791 0.791 0.959 Hf
0.959 0.959 0.791 Hf
0.126 0.126 0.624 Np
0.293 0.293 0.457 Np
0.376 0.376 0.874 Np
0.457 0.457 0.293 Np
0.543 0.543 0.707 Np
0.624 0.624 0.126 Np
0.707 0.707 0.543 Np
0.874 0.874 0.376 Np
0.040 0.539 0.199 P
0.112 0.638 0.638 P
0.199 0.722 0.040 P
0.278 0.801 0.461 P
0.362 0.888 0.888 P
0.461 0.960 0.278 P
0.539 0.040 0.722 P
0.638 0.112 0.112 P
0.722 0.199 0.539 P
0.801 0.278 0.960 P
0.888 0.362 0.362 P
0.960 0.461 0.801 P

Record 5
HfNpP2 (PBE, relaxed); VASP energy = -9.55 eV per atom; DFT formation energy = -1125 meV/atom; space-group type = R-3m, No. 166; excess energy over the best structure of this formula in the dataset = 0.000 eV per formula unit
1.0
1.909 1.102 6.231
-1.909 1.102 6.231
0.000 -2.204 6.231
Hf Np P
1 1 2
Direct
0.000 0.000 0.000 Hf
0.500 0.500 0.500 Np
0.255 0.255 0.255 P
0.745 0.745 0.745 P

Record 6
HfNp2PaP4 (PBE, relaxed); VASP energy = -9.47 eV per atom; DFT formation energy = -1097 meV/atom; space-group type = P2/m, No. 10
1.0
6.715 0.000 0.000
0.000 3.901 0.000
-2.256 0.000 6.374
Hf Np Pa P
1 2 1 4
Direct
0.000 0.000 0.000 Hf
0.500 0.000 0.500 Np
0.500 0.500 0.000 Np
0.000 0.500 0.500 Pa
0.240 0.500 0.238 P
0.245 0.000 0.760 P
0.755 0.000 0.240 P
0.760 0.500 0.762 P

Record 7
HfNpPa2P4 (PBE, relaxed); VASP energy = -9.15 eV per atom; DFT formation energy = -1211 meV/atom; space-group type = P2/m, No. 10
1.0
6.723 0.000 0.000
0.000 3.912 0.000
-2.253 0.000 6.343
Hf Np Pa P
1 1 2 4
Direct
0.000 0.000 0.000 Hf
0.500 0.500 0.000 Np
0.000 0.500 0.500 Pa
0.500 0.000 0.500 Pa
0.239 0.500 0.237 P
0.246 0.000 0.759 P
0.754 0.000 0.241 P
0.761 0.500 0.763 P

Record 8
Pm2HfNpP4 (PBE, relaxed); VASP energy = -8.07 eV per atom; DFT formation energy = -1316 meV/atom; space-group type = P2/m, No. 10
1.0
6.840 0.000 0.000
0.000 3.961 0.000
-2.264 0.000 6.519
Pm Hf Np P
2 1 1 4
Direct
0.000 0.000 0.000 Pm
0.500 0.500 0.000 Pm
0.000 0.500 0.500 Hf
0.500 0.000 0.500 Np
0.235 0.000 0.726 P
0.249 0.500 0.270 P
0.751 0.500 0.730 P
0.765 0.000 0.274 P

Record 9
Pu3Hf2NpP6 (PBE, relaxed); VASP energy = -10.20 eV per atom; DFT formation energy = -1176 meV/atom; space-group type = C2/m, No. 12
1.0
3.354 -5.811 0.000
3.354 5.811 0.000
-2.231 0.000 6.340
Pu Hf Np P
3 2 1 6
Direct
0.000 0.000 0.000 Pu
0.335 0.665 0.000 Pu
0.665 0.335 0.000 Pu
0.167 0.833 0.500 Hf
0.833 0.167 0.500 Hf
0.500 0.500 0.500 Np
0.080 0.421 0.263 P
0.238 0.238 0.735 P
0.421 0.080 0.263 P
0.579 0.920 0.737 P
0.762 0.762 0.265 P
0.920 0.579 0.737 P

Record 10
PuHfNp2P4 (PBE, relaxed); VASP energy = -10.02 eV per atom; DFT formation energy = -1044 meV/atom; space-group type = P2/m, No. 10
1.0
6.712 0.000 0.000
0.000 3.886 0.000
-2.231 0.000 6.376
Pu Hf Np P
1 1 2 4
Direct
0.000 0.000 0.000 Pu
0.500 0.500 0.000 Hf
0.000 0.500 0.500 Np
0.500 0.000 0.500 Np
0.257 0.500 0.244 P
0.261 0.000 0.761 P
0.739 0.000 0.239 P
0.743 0.500 0.756 P

Record 11
PuHf2Np3P6 (PBE, relaxed); VASP energy = -9.87 eV per atom; DFT formation energy = -1073 meV/atom; space-group type = C2/m, No. 12
1.0
3.345 -5.784 0.000
3.345 5.784 0.000
-2.245 0.000 6.327
Pu Hf Np P
1 2 3 6
Direct
0.000 0.000 0.000 Pu
0.333 0.667 0.000 Hf
0.667 0.333 0.000 Hf
0.164 0.836 0.500 Np
0.500 0.500 0.500 Np
0.836 0.164 0.500 Np
0.079 0.422 0.240 P
0.262 0.262 0.764 P
0.422 0.079 0.240 P
0.578 0.921 0.760 P
0.738 0.738 0.236 P
0.921 0.578 0.760 P

Record 12
Hf2NpScP4 (PBE, relaxed); VASP energy = -8.86 eV per atom; DFT formation energy = -1262 meV/atom; space-group type = P2/m, No. 10
1.0
6.510 0.000 0.000
0.000 3.767 0.000
-2.161 0.000 6.189
Hf Np Sc P
2 1 1 4
Direct
0.000 0.000 0.000 Hf
0.500 0.500 0.000 Hf
0.000 0.500 0.500 Np
0.500 0.000 0.500 Sc
0.252 0.500 0.244 P
0.258 0.000 0.760 P
0.742 0.000 0.240 P
0.748 0.500 0.756 P